[1]
# RbTl4I6, relaxed, DFT PBE
data_RbTl4I6
_cell_length_a 4.9705
_cell_length_b 16.3251
_cell_length_c 24.3117
_cell_angle_alpha 90.00
_cell_angle_beta 90.00
_cell_angle_gamma 90.00
_symmetry_space_group_name_H-M 'C m c m'
_symmetry_Int_Tables_number 63
_symmetry_space_group_name_Hall '-C 2c 2'
loop_
_atom_site_label
_atom_site_type_symbol
_atom_site_fract_x
_atom_site_fract_y
_atom_site_fract_z
Rb1 Rb 0.0000 0.1760 0.2500
Tl1 Tl 0.0000 0.0822 0.6270
Tl2 Tl 0.0000 0.3515 0.5432
I1 I 0.0000 0.0000 0.0000
I2 I 0.0000 0.1486 0.7500
I3 I 0.0000 0.2743 0.0965
I4 I 0.0000 0.4513 0.6627
# Density = 5.604 Mg/m³
# Uncorrected formation energy = -718 meV/atom
# Crystal system = orthorhombic
# Uncorrected energy = -2.51 eV per atom
# M_tot = 0.00 μB per cell


[2]
# InAsIrSe2, relaxed, DFT PBE
data_InAsIrSe2
_cell_length_a 5.1283
_cell_length_b 5.1283
_cell_length_c 5.1228
_cell_angle_alpha 90.00
_cell_angle_beta 90.00
_cell_angle_gamma 90.00
_symmetry_space_group_name_H-M 'P 4/m m m'
_symmetry_Int_Tables_number 123
_symmetry_space_group_name_Hall '-P 4 2'
loop_
_atom_site_label
_atom_site_type_symbol
_atom_site_fract_x
_atom_site_fract_y
_atom_site_fract_z
In1 In 0.0000 0.0000 0.0000
As1 As 0.0000 0.0000 0.5000
Ir1 Ir 0.5000 0.5000 0.5000
Se1 Se 0.0000 0.5000 0.0000
# Density = 6.654 Mg/m³
# Uncorrected formation energy = 1494 meV/atom
# Crystal system = tetragonal
# Uncorrected energy = -3.15 eV per atom
# Relative energy among the computed polymorphs = 1.196 eV/atom
# M_tot = 1.10 μB per cell